A plane-wave DFT calculation with PBE was carried out for a relaxed structure of Tb2Y2Ga4Cu.

a = 6.514 Å, b = 6.514 Å, c = 6.514 Å
α = 115.52°, β = 115.52°, γ = 97.95°
Fractional positions:
1 Tb 0.190 0.190 0.000
2 Tb 0.810 0.810 0.000
3 Y 0.250 0.750 0.500
4 Y 0.750 0.250 0.500
5 Ga 0.260 0.260 0.520
6 Ga 0.260 0.740 0.000
7 Ga 0.740 0.260 0.000
8 Ga 0.740 0.740 0.480
9 Cu 0.500 0.500 0.000

Results
The value obtained for the energy is -4.61 eV/atom. As for the space group: I4/mmm. Its crystal system is tetragonal. The value obtained for the total magnetic moment is 0.001 μB/atom. As for the formation energy: -0.35 eV per atom.


A plane-wave DFT calculation with PBE was carried out for a relaxed structure of Zr3ScS.

a = 4.885 Å, b = 4.885 Å, c = 4.885 Å
α = 90.00°, β = 90.00°, γ = 90.00°
Fractional positions:
1 Zr 0.000 0.000 0.500
2 Zr 0.000 0.500 0.000
3 Zr 0.500 0.000 0.000
4 Sc 0.500 0.500 0.500
5 S 0.000 0.000 0.000

Results
The value obtained for the energy is -7.74 eV/atom. The raw formation energy comes out at -0.522 eV/atom. As for the space group: Pm-3m. Its crystal system is cubic. The value obtained for the total magnetic moment is 0.000 μB/atom.


A plane-wave DFT calculation with PBE was carried out for a relaxed structure of AgPCl2F.

a = 5.426 Å, b = 5.426 Å, c = 3.586 Å
α = 90.00°, β = 90.00°, γ = 90.00°
Fractional positions:
1 Ag 0.000 0.000 0.000
2 P 0.500 0.500 0.000
3 Cl 0.000 0.500 0.500
4 Cl 0.500 0.000 0.500
5 F 0.500 0.500 0.500

Results
The value obtained for the energy is -2.75 eV/atom. The raw formation energy comes out at 0.018 eV/atom. As for the space group: P4/mmm. Its crystal system is tetragonal. The value obtained for the total magnetic moment is 0.000 μB/atom.


A plane-wave DFT calculation with PBE was carried out for a relaxed structure of Ca8Ga2Pd.

a = 8.906 Å, b = 8.906 Å, c = 8.906 Å
α = 146.62°, β = 120.36°, γ = 70.10°
Fractional positions:
1 Ca 0.123 0.340 0.784
2 Ca 0.128 0.128 0.000
3 Ca 0.324 0.000 0.324
4 Ca 0.444 0.660 0.784
5 Ca 0.556 0.340 0.216
6 Ca 0.676 0.000 0.676
7 Ca 0.872 0.872 0.000
8 Ca 0.877 0.660 0.216
9 Ga 0.308 0.808 0.500
10 Ga 0.692 0.192 0.500
11 Pd 0.000 0.500 0.500

Results
The value obtained for the energy is -2.71 eV/atom. As for the space group: Immm. Its crystal system is orthorhombic. The value obtained for the total magnetic moment is 0.000 μB/atom. As for the formation energy: -0.23 eV per atom.


A plane-wave DFT calculation with PBE was carried out for a relaxed structure of Tb2Pm2Sm2Er.

a = 8.865 Å, b = 8.865 Å, c = 8.865 Å
α = 37.60°, β = 37.60°, γ = 37.60°
Fractional positions:
1 Tb 0.071 0.071 0.071
2 Tb 0.929 0.929 0.929
3 Pm 0.360 0.360 0.360
4 Pm 0.640 0.640 0.640
5 Sm 0.214 0.214 0.214
6 Sm 0.786 0.786 0.786
7 Er 0.500 0.500 0.500

Results
The value obtained for the energy is -4.54 eV/atom. As for the space group: R-3m. Its crystal system is trigonal. The value obtained for the total magnetic moment is 0.000 μB/atom. As for the formation energy: 0.14 eV per atom.


A plane-wave DFT calculation with PBE was carried out for a relaxed structure of Y2Ga4Cu3Rh.

a = 4.040 Å, b = 4.040 Å, c = 10.648 Å
α = 90.00°, β = 90.00°, γ = 90.00°
Fractional positions:
1 Y 0.000 0.500 0.246
2 Y 0.500 0.000 0.754
3 Ga 0.000 0.000 0.000
4 Ga 0.000 0.500 0.637
5 Ga 0.500 0.000 0.363
6 Ga 0.500 0.500 0.000
7 Cu 0.000 0.500 0.863
8 Cu 0.500 0.000 0.137
9 Cu 0.500 0.500 0.500
10 Rh 0.000 0.000 0.500

Results
The value obtained for the energy is -4.99 eV/atom. As for the space group: P-4m2. Its crystal system is tetragonal. The value obtained for the total magnetic moment is 0.000 μB/atom. As for the formation energy: -0.53 eV per atom.


A plane-wave DFT calculation with PBE was carried out for a relaxed structure of Hf2ZrH.

a = 5.889 Å, b = 5.889 Å, c = 5.889 Å
α = 117.10°, β = 117.10°, γ = 95.10°
Fractional positions:
1 Hf 0.375 0.038 0.163
2 Hf 0.788 0.625 0.663
3 Hf 0.875 0.212 0.837
4 Hf 0.962 0.125 0.337
5 Zr 0.250 0.750 0.500
6 Zr 0.500 0.500 0.000
7 H 0.000 0.000 0.000
8 H 0.750 0.250 0.500

Results
The value obtained for the energy is -7.85 eV/atom. As for the space group: I-42d. Its crystal system is tetragonal. The value obtained for the total magnetic moment is 0.000 μB/atom.


A plane-wave DFT calculation with PBE was carried out for a relaxed structure of ZrRe4Mo.

a = 5.224 Å, b = 5.224 Å, c = 5.224 Å
α = 60.00°, β = 60.00°, γ = 60.00°
Fractional positions:
1 Zr 0.000 0.000 0.000
2 Re 0.374 0.374 0.374
3 Re 0.374 0.374 0.877
4 Re 0.374 0.877 0.374
5 Re 0.877 0.374 0.374
6 Mo 0.750 0.750 0.750

Results
The value obtained for the energy is -11.55 eV/atom. As for the space group: F-43m. Its crystal system is cubic. The value obtained for the total magnetic moment is 0.000 μB/atom. As for the formation energy: -0.02 eV per atom.